# 1
Below is crystalline Sr2TiFeO5 at its relaxed geometry, with properties calculated at the PBE+U level.

Results
- crystal system = orthorhombic
- E_tot (eV/atom) = -7.177

```
Sr2TiFeO5
1.0
1.630 -6.929 0.000
1.630 6.929 0.000
0.000 0.000 10.960
Sr Ti Fe O
4 2 2 10
Cartesian
1.630 5.650 5.480
1.630 5.019 1.427
1.630 -5.019 6.907
1.630 -5.650 0.000
1.630 3.876 9.348
1.630 -3.876 3.868
1.630 0.664 3.105
1.630 -0.664 8.585
1.630 5.895 9.749
1.630 3.172 5.244
1.630 2.786 2.658
1.630 2.016 9.108
1.630 0.018 6.790
1.630 -0.018 1.310
1.630 -2.016 3.628
1.630 -2.786 8.138
1.630 -3.172 10.724
1.630 -5.895 4.269
```



# 2
Below is crystalline Sr5Ti4FeO15 at its relaxed geometry, with properties calculated at the PBE+U level.

Results
- crystal system = monoclinic
- E_tot (eV/atom) = -7.651

```
Sr5Ti4FeO15
1.0
8.326 -2.769 0.000
8.326 2.769 0.000
-1.852 0.000 6.541
Sr Ti Fe O
5 4 1 15
Cartesian
0.000 0.000 0.000
1.821 0.000 5.220
5.592 0.000 3.912
9.207 0.000 2.630
12.978 0.000 1.321
2.757 0.000 1.977
6.471 0.000 0.653
8.328 0.000 5.888
12.043 0.000 4.565
-0.926 0.000 3.271
3.237 1.384 3.271
0.905 0.000 2.610
4.164 1.378 5.911
6.939 1.411 1.991
7.861 1.411 4.550
4.608 0.000 1.320
10.635 1.378 0.631
3.237 -1.384 3.271
8.326 0.000 0.000
4.164 -1.378 5.911
10.191 0.000 5.222
6.939 -1.411 1.991
7.861 -1.411 4.550
10.635 -1.378 0.631
13.894 0.000 3.931
```



# 3
Below is crystalline Sr3TiFe2O8 at its relaxed geometry, with properties calculated at the PBE+U level.

Results
- crystal system = trigonal
- E_tot (eV/atom) = -6.958

```
Sr3TiFe2O8
1.0
5.658 0.000 0.000
-2.829 4.900 0.000
0.000 0.000 7.187
Sr Ti Fe O
3 1 2 8
Cartesian
0.000 0.000 0.000
0.000 3.267 4.591
2.829 1.633 2.596
0.000 0.000 3.594
0.000 3.267 1.494
2.829 1.633 5.693
0.000 1.578 2.404
-1.462 4.111 2.404
1.367 0.789 4.783
0.000 3.267 6.887
2.829 1.633 0.300
1.462 4.111 2.404
4.291 0.789 4.783
2.829 3.322 4.783
```



# 4
Below is crystalline Sr6Ti3FeO14 at its relaxed geometry, with properties calculated at the PBE+U level.

Results
- crystal system = tetragonal
- E_tot (eV/atom) = -7.371

```
Sr6Ti3FeO14
1.0
3.937 0.000 0.000
0.000 3.937 0.000
0.000 0.000 20.423
Sr Ti Fe O
6 3 1 14
Cartesian
0.000 0.000 0.000
0.000 0.000 3.654
0.000 0.000 16.622
1.968 1.968 6.364
1.968 1.968 10.145
1.968 1.968 13.921
0.000 0.000 8.138
0.000 0.000 12.149
1.968 1.968 18.389
1.968 1.968 1.929
0.000 0.000 6.173
0.000 0.000 10.149
0.000 0.000 14.127
0.000 1.968 1.901
0.000 1.968 8.170
0.000 1.968 12.125
0.000 1.968 18.416
1.968 0.000 1.901
1.968 0.000 8.170
1.968 0.000 12.125
1.968 0.000 18.416
1.968 1.968 3.879
1.968 1.968 16.431
1.968 1.968 20.396
```



# 5
Below is crystalline SrTi2Fe2O7 at its relaxed geometry, with properties calculated at the PBE+U level.

Results
- crystal system = orthorhombic
- E_tot (eV/atom) = -7.797

```
SrTi2Fe2O7
1.0
-1.927 8.138 2.417
1.927 -8.138 2.417
1.927 8.138 -2.417
Sr Ti Fe O
1 2 2 7
Cartesian
0.000 0.000 0.000
1.927 -1.808 2.275
1.927 1.808 2.275
1.927 3.830 -0.399
0.000 4.308 2.018
1.927 -3.772 1.837
1.927 6.226 -0.524
1.927 0.000 1.662
0.000 1.912 1.893
1.927 3.772 1.837
0.000 6.433 1.647
0.000 9.843 1.647
```



# 6
Below is crystalline Sr2TlFeO5 at its relaxed geometry, with properties calculated at the PBE+U level.

Results
- crystal system = orthorhombic
- E_tot (eV/atom) = -5.872

```
Sr2TlFeO5
1.0
1.744 -7.034 0.000
1.744 7.034 0.000
0.000 0.000 10.777
Sr Tl Fe O
4 2 2 10
Cartesian
1.744 5.603 5.389
1.744 5.041 1.264
1.744 -5.041 6.653
1.744 -5.603 0.000
1.744 4.024 8.955
1.744 -4.024 3.566
1.744 0.306 2.880
1.744 -0.306 8.268
1.744 6.404 9.099
1.744 3.108 5.121
1.744 2.494 2.142
1.744 1.684 8.769
1.744 0.116 6.436
1.744 -0.116 1.047
1.744 -1.684 3.380
1.744 -2.494 7.531
1.744 -3.108 10.510
1.744 -6.404 3.711
```



# 7
Below is crystalline Sr3TlFe2O8 at its relaxed geometry, with properties calculated at the PBE+U level.

Results
- crystal system = orthorhombic
- E_tot (eV/atom) = -6.071

```
Sr3TlFe2O8
1.0
3.884 0.000 0.000
0.000 12.669 0.000
0.000 0.000 3.900
Sr Tl Fe O
3 1 2 8
Cartesian
0.000 0.000 0.000
0.000 3.817 0.016
0.000 8.851 0.016
1.942 6.334 2.238
1.942 1.967 1.953
1.942 10.701 1.953
0.000 2.048 1.961
0.000 6.334 3.552
0.000 10.620 1.961
1.942 0.000 1.948
1.942 2.051 0.001
1.942 4.228 1.869
1.942 8.440 1.869
1.942 10.617 0.001
```



# 8
Below is crystalline Sr2YTlFe2O7 at its relaxed geometry, with properties calculated at the PBE+U level.

Results
- crystal system = tetragonal
- E_tot (eV/atom) = -6.592

```
Sr2YTlFe2O7
1.0
3.871 0.000 0.000
0.000 3.871 0.000
0.000 0.000 13.037
Sr Y Tl Fe O
2 1 1 2 7
Cartesian
0.000 0.000 2.434
0.000 0.000 10.604
0.000 0.000 6.519
1.935 1.935 0.000
1.935 1.935 4.582
1.935 1.935 8.455
0.000 0.000 0.000
0.000 1.935 5.098
0.000 1.935 7.940
1.935 0.000 5.098
1.935 0.000 7.940
1.935 1.935 2.680
1.935 1.935 10.357
```



# 9
Below is crystalline Sr4TmFe3O12 at its relaxed geometry, with properties calculated at the PBE+U level.

Results
- crystal system = cubic
- E_tot (eV/atom) = -6.517

```
Sr4TmFe3O12
1.0
-3.992 3.992 3.992
3.992 -3.992 3.992
3.992 3.992 -3.992
Sr Tm Fe O
4 1 3 12
Cartesian
1.996 1.996 -1.996
1.996 -1.996 1.996
-1.996 1.996 1.996
1.996 1.996 1.996
0.000 0.000 0.000
3.992 0.000 0.000
0.000 3.992 0.000
0.000 0.000 3.992
2.134 0.000 0.000
5.849 0.000 0.000
3.992 1.996 0.000
3.992 0.000 1.996
0.000 2.134 0.000
0.000 0.000 2.134
1.996 3.992 0.000
1.996 0.000 3.992
0.000 5.849 0.000
0.000 0.000 5.849
0.000 3.992 1.996
0.000 1.996 3.992
```



# 10
Below is crystalline Sr3TmFe2O9 at its relaxed geometry, with properties calculated at the PBE+U level.

Results
- crystal system = trigonal
- E_tot (eV/atom) = -6.568

```
Sr3TmFe2O9
1.0
5.668 0.000 0.000
-2.834 4.908 0.000
0.000 0.000 7.011
Sr Tm Fe O
3 1 2 9
Cartesian
0.000 0.000 0.000
0.000 3.272 4.816
2.834 1.636 2.195
0.000 0.000 3.506
0.000 3.272 1.139
2.834 1.636 5.872
-1.417 2.454 0.000
0.000 1.712 2.212
-1.351 4.052 2.212
1.483 0.856 4.799
2.834 0.000 0.000
1.417 2.454 0.000
1.351 4.052 2.212
4.185 0.856 4.799
2.834 3.196 4.799
```



# 11
Below is crystalline SrUFeO5 at its relaxed geometry, with properties calculated at the PBE+U level.

Results
- crystal system = monoclinic
- E_tot (eV/atom) = -8.091

```
SrUFeO5
1.0
3.976 -4.451 0.000
3.976 4.451 0.000
-3.222 0.000 7.460
Sr U Fe O
2 2 2 10
Cartesian
1.560 3.683 5.595
3.171 -3.683 1.865
1.988 2.226 0.000
0.377 -2.226 3.730
1.560 0.155 5.595
3.171 -0.155 1.865
1.463 0.304 0.358
0.401 1.618 6.395
-0.148 -0.304 4.088
3.171 1.957 1.865
2.719 1.618 4.794
2.012 -1.618 2.665
1.560 -1.957 5.595
4.879 0.304 3.372
4.330 -1.618 1.064
3.268 -0.304 7.102
```



# 12
Below is crystalline Sr2UFeO6 at its relaxed geometry, with properties calculated at the PBE+U level.

Results
- crystal system = monoclinic
- E_tot (eV/atom) = -7.811

```
Sr2UFeO6
1.0
5.891 0.000 0.000
0.000 5.987 0.000
-5.860 0.000 8.190
Sr U Fe O
4 2 2 12
Cartesian
-0.040 0.254 2.039
-2.970 2.739 6.134
3.001 3.248 2.056
0.071 5.732 6.151
2.945 0.000 0.000
0.015 2.993 4.095
-2.930 0.000 4.095
0.000 2.993 0.000
-4.586 1.192 7.851
-1.656 1.802 3.756
-4.085 4.296 7.834
-1.155 4.684 3.739
-2.439 0.142 6.129
0.491 2.851 2.034
-0.460 3.135 6.156
2.469 5.845 2.061
1.186 1.303 4.451
4.116 1.691 0.356
1.687 4.185 4.434
4.617 4.795 0.339
```



# 13
Below is crystalline Sr3V2FeO9 at its relaxed geometry, with properties calculated at the PBE+U level.

Results
- crystal system = trigonal
- E_tot (eV/atom) = -6.916

```
Sr3V2FeO9
1.0
5.518 0.000 0.000
-2.759 4.779 0.000
0.000 0.000 6.776
Sr V Fe O
3 2 1 9
Cartesian
0.000 0.000 0.000
0.000 3.186 4.575
2.759 1.593 2.201
0.000 3.186 1.215
2.759 1.593 5.562
0.000 0.000 3.388
-1.380 2.390 0.000
0.000 1.646 2.195
-1.333 3.956 2.195
1.426 0.823 4.581
2.759 0.000 0.000
1.380 2.390 0.000
1.333 3.956 2.195
4.092 0.823 4.581
2.759 3.133 4.581
```



# 14
Below is crystalline SrV2Fe2O7 at its relaxed geometry, with properties calculated at the PBE+U level.

Results
- crystal system = orthorhombic
- E_tot (eV/atom) = -7.163

```
SrV2Fe2O7
1.0
-2.078 8.876 1.925
2.078 -8.876 1.925
2.078 8.876 -1.925
Sr V Fe O
1 2 2 7
Cartesian
0.000 0.000 0.000
0.000 6.956 0.044
0.000 10.797 0.044
2.078 4.850 -0.059
0.000 4.027 1.866
2.078 1.937 -0.117
2.078 -3.950 1.789
2.078 6.936 -0.110
2.078 0.000 1.738
0.000 1.940 1.814
2.078 3.950 1.789
0.000 6.939 1.808
```



# 15
Below is crystalline Sr3VFe2O8 at its relaxed geometry, with properties calculated at the PBE+U level.

Results
- crystal system = trigonal
- E_tot (eV/atom) = -6.679

```
Sr3VFe2O8
1.0
5.618 0.000 0.000
-2.809 4.865 0.000
0.000 0.000 7.192
Sr V Fe O
3 1 2 8
Cartesian
0.000 0.000 0.000
0.000 3.244 4.594
2.809 1.622 2.598
0.000 0.000 3.596
0.000 3.244 1.502
2.809 1.622 5.690
0.000 1.560 2.418
-1.458 4.085 2.418
1.351 0.780 4.774
0.000 3.244 6.895
2.809 1.622 0.296
1.458 4.085 2.418
4.267 0.780 4.774
2.809 3.306 4.774
```



# 16
Below is crystalline SrFe2WO6 at its relaxed geometry, with properties calculated at the PBE+U level.

Results
- crystal system = triclinic
- E_tot (eV/atom) = -6.972

```
SrFe2WO6
1.0
5.508 0.000 0.000
2.744 4.817 0.000
2.700 1.645 4.950
Sr Fe W O
1 2 1 6
Cartesian
0.000 0.000 0.000
2.714 1.587 1.697
8.208 4.801 4.161
5.493 3.194 2.226
3.831 3.212 3.162
4.960 4.595 0.905
6.395 4.636 3.157
4.532 2.001 0.935
6.391 1.723 3.104
6.938 2.952 0.820
```



# 17
Below is crystalline Sr2YFe2O6 at its relaxed geometry, with properties calculated at the PBE+U level.

Results
- crystal system = trigonal
- E_tot (eV/atom) = -6.885

```
Sr2YFe2O6
1.0
3.033 1.751 5.774
-3.033 1.751 5.774
0.000 -3.503 5.774
Sr Y Fe O
2 1 2 6
Cartesian
0.000 0.000 3.453
0.000 0.000 13.869
0.000 0.000 0.000
0.000 0.000 7.390
0.000 0.000 9.932
-1.598 -0.922 10.000
0.000 -1.845 7.322
-1.598 0.922 7.322
1.598 -0.922 10.000
0.000 1.845 10.000
1.598 0.922 7.322
```



# 18
Below is crystalline Sr2ZnFeO4 at its relaxed geometry, with properties calculated at the PBE+U level.

Results
- crystal system = tetragonal
- E_tot (eV/atom) = -5.755

```
Sr2ZnFeO4
1.0
-2.920 2.920 3.489
2.920 -2.920 3.489
2.920 2.920 -3.489
Sr Zn Fe O
2 1 1 4
Cartesian
0.000 0.000 0.000
0.000 2.920 1.744
2.920 0.000 1.744
0.000 0.000 3.489
1.504 -1.109 2.678
1.811 1.417 0.810
1.417 4.030 -0.810
1.109 1.504 4.299
```